No. 1
Density functional theory data (PBE-GGA) for crystalline Te2RuW at its relaxed geometry.

extended XYZ file:
```
4
Lattice="3.150 0.000 0.000 0.000 3.150 0.000 0.000 0.000 8.771" Properties=species:S:1:pos:R:3 pbc="T T T"
Te 0.000 0.000 0.000
Te 1.575 1.575 3.651
Ru 1.575 1.575 7.170
W 0.000 0.000 5.347
```

- E above lowest polymorph: 0.382 eV/f.u.
- Magnetization: 0.17 μB/cell
- Energy relative to the elements, uncorrected: 0.25 eV per atom

---

No. 2
Density functional theory data (PBE-GGA) for crystalline Te4RuW at its relaxed geometry.

extended XYZ file:
```
6
Lattice="0.000 4.295 4.295 4.295 0.000 4.295 4.295 4.295 0.000" Properties=species:S:1:pos:R:3 pbc="T T T"
Te 1.075 1.075 1.075
Te 3.220 3.220 1.075
Te 3.220 1.075 3.220
Te 1.075 3.220 3.220
Ru 4.295 4.295 4.295
W 6.443 6.443 6.443
```

- Magnetization: 5.57 μB/cell
- Energy relative to the elements, uncorrected: 1.85 eV per atom

---

No. 3
Density functional theory data (PBE-GGA) for crystalline Te2RuW at its relaxed geometry.

extended XYZ file:
```
4
Lattice="3.337 0.000 0.000 0.000 3.337 0.000 0.000 0.000 6.628" Properties=species:S:1:pos:R:3 pbc="T T T"
Te 0.000 0.000 1.642
Te 0.000 0.000 4.986
Ru 1.668 1.668 3.314
W 1.668 1.668 0.000
```

- E above lowest polymorph: 1.524 eV/f.u.
- Magnetization: 0.00 μB/cell
- Energy relative to the elements, uncorrected: 0.54 eV per atom

---

No. 4
Density functional theory data (PBE-GGA) for crystalline Te2RuW at its relaxed geometry.

extended XYZ file:
```
8
Lattice="4.002 0.000 0.000 0.000 4.002 0.000 0.000 0.000 9.575" Properties=species:S:1:pos:R:3 pbc="T T T"
Te 0.000 0.000 0.000
Te 0.000 2.001 2.394
Te 2.001 0.000 7.181
Te 2.001 2.001 4.787
Ru 0.000 0.000 4.787
Ru 2.001 2.001 0.000
W 0.000 2.001 7.181
W 2.001 0.000 2.394
```

- E above lowest polymorph: 2.884 eV/f.u.
- Magnetization: 1.37 μB/cell
- Energy relative to the elements, uncorrected: 0.88 eV per atom

---

No. 5
Density functional theory data (PBE-GGA) for crystalline Te3RuW at its relaxed geometry.

extended XYZ file:
```
5
Lattice="5.202 0.000 0.000 0.000 5.202 0.000 0.000 0.000 5.202" Properties=species:S:1:pos:R:3 pbc="T T T"
Te 0.000 0.000 2.601
Te 0.000 2.601 0.000
Te 2.601 0.000 0.000
Ru 2.601 2.601 2.601
W 0.000 0.000 0.000
```

- E above lowest polymorph: 0.000 eV/f.u.
- Magnetization: 0.00 μB/cell
- Energy relative to the elements, uncorrected: 1.43 eV per atom

---

No. 6
Density functional theory data (PBE-GGA) for crystalline Te2RuW at its relaxed geometry.

extended XYZ file:
```
8
Lattice="6.501 0.000 0.000 0.000 8.804 0.000 -1.280 0.000 2.782" Properties=species:S:1:pos:R:3 pbc="T T T"
Te 1.625 2.201 0.000
Te 1.625 6.603 0.000
Te 4.876 2.201 0.000
Te 4.876 6.603 0.000
Ru 0.000 0.000 0.000
Ru 3.250 4.402 0.000
W 0.000 4.402 0.000
W 3.250 0.000 0.000
```

- E above lowest polymorph: 3.297 eV/f.u.
- Magnetization: 0.00 μB/cell
- Energy relative to the elements, uncorrected: 0.98 eV per atom

---

No. 7
Density functional theory data (PBE-GGA) for crystalline Te2RuW at its relaxed geometry.

extended XYZ file:
```
8
Lattice="7.820 0.000 0.000 0.000 3.845 0.000 -1.939 0.000 6.653" Properties=species:S:1:pos:R:3 pbc="T T T"
Te 0.000 0.000 0.000
Te 0.560 0.000 3.631
Te 3.910 1.922 0.000
Te 4.470 1.922 3.631
Ru 2.952 0.000 2.164
Ru 6.862 1.922 2.164
W 1.482 1.922 1.590
W 5.392 0.000 1.590
```

- E above lowest polymorph: 0.318 eV/f.u.
- Magnetization: 0.00 μB/cell
- Energy relative to the elements, uncorrected: 0.24 eV per atom

---

No. 8
Density functional theory data (PBE-GGA) for crystalline Te2RuW at its relaxed geometry.

extended XYZ file:
```
8
Lattice="8.503 0.000 0.000 0.000 3.241 0.000 -1.209 0.000 5.514" Properties=species:S:1:pos:R:3 pbc="T T T"
Te 1.790 0.000 1.368
Te 1.252 1.620 4.145
Te 6.042 1.620 1.368
Te 5.504 0.000 4.145
Ru -0.604 0.000 2.757
Ru 3.647 1.620 2.757
W 0.000 1.620 0.000
W 4.251 0.000 0.000
```

- E above lowest polymorph: 1.636 eV/f.u.
- Magnetization: 0.00 μB/cell
- Energy relative to the elements, uncorrected: 0.56 eV per atom

---

No. 9
Density functional theory data (PBE-GGA) for crystalline Te2RuW at its relaxed geometry.

extended XYZ file:
```
12
Lattice="3.201 0.000 0.000 -1.601 2.772 0.000 0.000 0.000 31.036" Properties=species:S:1:pos:R:3 pbc="T T T"
Te 0.000 0.000 0.000
Te 0.000 0.000 6.075
Te 0.000 1.848 20.691
Te 0.000 1.848 26.766
Te 1.601 0.924 10.345
Te 1.601 0.924 16.421
Ru 0.000 0.000 14.426
Ru 0.000 1.848 4.081
Ru 1.601 0.924 24.771
W 0.000 0.000 22.686
W 0.000 1.848 12.340
W 1.601 0.924 1.995
```

- E above lowest polymorph: 0.742 eV/f.u.
- Magnetization: 0.00 μB/cell
- Energy relative to the elements, uncorrected: 0.34 eV per atom

---

No. 10
Density functional theory data (PBE-GGA) for crystalline Y2TeRu at its relaxed geometry.

extended XYZ file:
```
4
Lattice="3.419 0.000 0.000 0.000 3.419 0.000 0.000 0.000 8.351" Properties=species:S:1:pos:R:3 pbc="T T T"
Y 0.000 0.000 0.000
Y 1.710 1.710 2.861
Te 1.710 1.710 6.182
Ru 0.000 0.000 4.697
```

- Magnetization: 0.00 μB/cell
- Energy relative to the elements, uncorrected: -0.18 eV per atom

---

No. 11
Density functional theory data (PBE-GGA) for crystalline YTeRu at its relaxed geometry.

extended XYZ file:
```
3
Lattice="4.534 0.000 0.000 -2.267 3.926 0.000 0.000 0.000 3.693" Properties=species:S:1:pos:R:3 pbc="T T T"
Y 0.000 0.000 0.000
Te 0.000 2.618 1.846
Ru 2.267 1.309 1.846
```

- Magnetization: 0.00 μB/cell
- Energy relative to the elements, uncorrected: -0.60 eV per atom

---

No. 12
Density functional theory data (PBE-GGA) for crystalline Y2TeRu at its relaxed geometry.

extended XYZ file:
```
8
Lattice="6.980 0.000 0.000 0.000 7.358 0.000 0.000 0.000 3.663" Properties=species:S:1:pos:R:3 pbc="T T T"
Y 1.745 1.840 0.000
Y 1.745 5.519 0.000
Y 5.235 1.840 0.000
Y 5.235 5.519 0.000
Te 0.000 0.000 1.831
Te 3.490 3.679 1.831
Ru 0.000 3.679 1.831
Ru 3.490 0.000 1.831
```

- Magnetization: 0.00 μB/cell
- Energy relative to the elements, uncorrected: -0.54 eV per atom

---

Electronic total energy values (in eV per atom) by entry order: -6.8767, -3.9479, -6.5913, -6.2511, -4.9031, -6.1480, -6.8928, -6.5633, -6.7868, -6.5212, -6.8937, -6.8750.